Material: SmThIrI
Method: DFT, PBE
State: relaxed

Structure (POSCAR):
```
SmThIrI
1.0
4.215 0.000 0.000
-2.107 3.650 0.000
-2.107 -1.217 8.208
Ir I Th Sm
1 1 1 1
direct
0.308 0.552 0.875
0.967 0.382 0.364
0.087 0.941 0.043
0.516 0.156 0.687
```

Output
Its uncorrected formation energy is -0.96 eV/atom. As for the density of states at the Fermi level: 2.76 states/eV/f.u. As for the final energy: -26.406 eV/cell. The calculation puts the theoretical density at 9.23 Mg/m³.

---

Material: Tl5Bi2
Method: DFT, PBE
State: relaxed

Structure (POSCAR):
```
Tl5Bi2
1.0
-0.908 -5.407 -5.872
-3.775 -4.105 4.364
-6.474 6.504 0.508
Tl Bi
10 4
direct
0.254 0.500 0.180
0.263 0.251 0.524
0.746 0.500 0.820
0.926 0.000 0.180
0.737 0.749 0.476
0.739 0.249 0.476
0.261 0.751 0.524
0.500 0.750 0.000
0.500 0.250 0.000
0.074 0.000 0.820
0.865 0.500 0.225
0.360 0.000 0.225
0.640 0.000 0.775
0.135 0.500 0.775
```

Output
As for the density of states at the Fermi level: 2.68 states/eV/f.u. As for the final energy: -39.186 eV/cell. The calculation puts the theoretical density at 10.17 Mg/m³.

---

Material: Tb3Pb2
Method: DFT, PBE
State: relaxed

Structure (POSCAR):
```
Tb3Pb2
1.0
-2.331 2.451 -4.088
-5.719 -0.891 6.170
3.200 10.002 4.172
Pb Tb
6 9
direct
0.347 0.693 0.487
0.653 0.307 0.513
0.987 0.973 0.180
0.013 0.027 0.820
0.680 0.360 0.153
0.320 0.640 0.847
0.500 0.000 0.000
0.494 0.987 0.674
0.173 0.346 0.660
0.833 0.667 0.667
0.160 0.320 0.007
0.827 0.654 0.340
0.506 0.013 0.326
0.840 0.680 0.993
0.167 0.333 0.333
```

Output
As for the density of states at the Fermi level: 3.83 states/eV/f.u. As for the final energy: -69.255 eV/cell. The calculation puts the theoretical density at 9.22 Mg/m³.

---

Material: CdFeN2
Method: DFT, PBE
State: relaxed

Structure (POSCAR):
```
CdFeN2
1.0
-1.909 2.622 5.706
0.902 1.968 6.196
0.196 4.452 4.819
Cd Fe N
1 1 2
direct
0.000 0.000 0.000
0.500 0.500 0.500
0.114 0.114 0.114
0.886 0.886 0.886
```

Output
Its uncorrected formation energy is 0.50 eV/atom. As for the density of states at the Fermi level: 1.33 states/eV/f.u. As for the final energy: -24.039 eV/cell. The calculation puts the theoretical density at 6.92 Mg/m³.

---

Material: In2SiOs
Method: DFT, PBE
State: relaxed

Structure (POSCAR):
```
In2SiOs
1.0
-2.954 -0.787 -0.367
0.846 -2.902 -0.584
-0.512 -1.725 7.822
Os In Si
1 2 1
direct
0.500 0.500 0.250
0.000 0.000 0.025
0.000 0.000 0.475
0.500 0.500 0.750
```

Output
Its uncorrected formation energy is 0.60 eV/atom. As for the density of states at the Fermi level: 3.11 states/eV/f.u. As for the final energy: -19.734 eV/cell. The calculation puts the theoretical density at 9.78 Mg/m³.

---

Material: VAgPb3
Method: DFT, PBE
State: relaxed

Structure (POSCAR):
```
VAgPb3
1.0
5.459 0.000 0.000
0.000 5.459 0.000
0.000 0.000 5.459
Pb Ag V
3 1 1
direct
0.000 0.500 0.000
0.500 0.000 0.000
0.000 0.000 0.500
0.000 0.000 0.000
0.500 0.500 0.500
```

Output
As for the density of states at the Fermi level: 9.48 states/eV/f.u. As for the final energy: -18.543 eV/cell. For the relative energy among the computed polymorphs, the calculation gives 0.4126 eV/atom. The calculation puts the theoretical density at 7.97 Mg/m³.

---

Q: final energy of number 4 (CdFeN2)?
A: -24.039 eV/cell